Run 1
Entry from the Alexandria database: a relaxed BaSiBi3 crystal (GGA-PBE).

Summary:
spin magnetization = 0.0 μB per cell
space group = Pm-3m, No. 221

The structure in POSCAR format:
```
BaSiBi3
1.0
-3.0999 5.3174 1.1834
-5.2075 -2.4929 -2.4396
-1.5990 -2.1898 5.6509
Ba Bi Si
1 3 1
Direct
0.0000 0.0000 0.0000
0.0000 0.0000 0.5000
0.5000 0.0000 0.0000
0.0000 0.5000 0.0000
0.5000 0.5000 0.5000
```

***

Run 2
Entry from the Alexandria database: a relaxed BaSiBi3 crystal (GGA-PBE).

Summary:
spin magnetization = 0.0 μB per cell
space group = Pm-3m, No. 221

The structure in POSCAR format:
```
BaSiBi3
1.0
-4.8190 2.4977 1.3521
-1.6788 -4.6529 2.6120
2.2910 1.8445 4.7581
Bi Ba Si
3 1 1
Direct
0.5000 0.0000 0.0000
0.0000 0.0000 0.5000
0.0000 0.5000 0.0000
0.5000 0.5000 0.5000
0.0000 0.0000 0.0000
```

***

Computed stability ranking, most favorable first: run 2, run 1

***

Run 1
Entry from the Alexandria database: a relaxed BaSn6Bi2 crystal (GGA-PBE).

Summary:
spin magnetization = 0.0 μB per cell
space group = C2/m, No. 12

The structure in POSCAR format:
```
BaSn6Bi2
1.0
6.6848 -0.2163 -0.7836
-0.9007 6.6171 -1.5009
-0.1601 -0.6212 6.8146
Sn Ba Bi
6 1 2
Direct
0.2123 0.4587 0.8934
0.7877 0.1066 0.5413
0.5000 0.8625 0.1375
0.7877 0.5413 0.1066
0.5000 0.1375 0.8625
0.2123 0.8934 0.4587
0.0000 0.0000 0.0000
0.2664 0.4548 0.4548
0.7336 0.5452 0.5452
```

***

Run 2
Entry from the Alexandria database: a relaxed BaSn6Bi2 crystal (GGA-PBE).

Summary:
spin magnetization = 0.0 μB per cell
space group = C2/m, No. 12

The structure in POSCAR format:
```
BaSn6Bi2
1.0
3.6135 -0.1400 -0.1339
1.2823 9.1382 2.2526
1.2823 2.6510 9.0307
Sn Bi Ba
6 2 1
Direct
0.5000 0.3406 0.6594
0.6609 0.9978 0.6437
0.3391 0.3563 0.0022
0.6609 0.6437 0.9978
0.3391 0.0022 0.3563
0.5000 0.6594 0.3406
0.0565 0.3489 0.3489
0.9435 0.6511 0.6511
0.0000 0.0000 0.0000
```

***

Computed stability ranking, most favorable first: run 1, run 2

***

Run 1
Entry from the Alexandria database: a relaxed BaSn3Bi crystal (GGA-PBE).

Summary:
spin magnetization = 0.0 μB per cell
space group = Pm, No. 6

The structure in POSCAR format:
```
BaSn3Bi
1.0
-3.4215 3.2740 4.3930
4.1284 -1.6191 6.6831
3.9337 5.5628 -1.0819
Sn Ba Bi
6 2 2
Direct
0.4539 0.0933 0.9847
0.2093 0.4491 0.9450
0.4538 0.0932 0.4169
0.2093 0.4492 0.4566
0.7335 0.8735 0.7007
0.8874 0.3162 0.2008
0.6955 0.4352 0.7008
0.9771 0.8600 0.2008
0.0951 0.0639 0.7008
0.5212 0.6226 0.2008
```

***

Run 2
Entry from the Alexandria database: a relaxed BaSn3Bi crystal (GGA-PBE).

Summary:
spin magnetization = 0.0 μB per cell
space group = Pm-3m, No. 221

The structure in POSCAR format:
```
BaSn3Bi
1.0
-3.4911 -3.8868 3.2259
5.0510 -2.7162 2.1936
0.0384 3.9008 4.7417
Sn Bi Ba
3 1 1
Direct
0.5000 0.0000 0.0000
0.0000 0.5000 0.0000
0.0000 0.0000 0.5000
0.5000 0.5000 0.5000
0.0000 0.0000 0.0000
```

***

Run 3
Entry from the Alexandria database: a relaxed BaSn3Bi crystal (GGA-PBE).

Summary:
spin magnetization = 0.0 μB per cell
space group = Pm-3m, No. 221

The structure in POSCAR format:
```
BaSn3Bi
1.0
-2.6922 -4.9802 1.7889
2.6218 -2.9988 -4.4027
4.5965 -1.2064 3.5590
Sn Bi Ba
3 1 1
Direct
0.0000 0.5000 0.0000
0.5000 0.0000 0.0000
0.0000 0.0000 0.5000
0.0000 0.0000 0.0000
0.5000 0.5000 0.5000
```

***

Computed stability ranking, most favorable first: run 1, run 3, run 2

***

Run 1
Entry from the Alexandria database: a relaxed Ba2SnBi2 crystal (GGA-PBE).

Summary:
spin magnetization = 0.0 μB per cell
space group = Cmc2_1, No. 36

The structure in POSCAR format:
```
Ba2SnBi2
1.0
4.8038 0.0000 0.0000
0.0000 7.6287 0.0000
-2.4019 0.0000 11.3250
Sn Bi Ba
2 4 4
Direct
0.6069 0.5531 0.2139
0.3931 0.0531 0.7861
0.4220 0.4351 0.8439
0.8143 0.9531 0.6286
0.1857 0.4531 0.3714
0.5780 0.9351 0.1561
0.1947 0.9301 0.3894
0.8053 0.4301 0.6106
0.9652 0.7630 0.9303
0.0348 0.2630 0.0697
```

***

Run 2
Entry from the Alexandria database: a relaxed Ba2SnBi2 crystal (GGA-PBE).

Summary:
spin magnetization = 0.0 μB per cell
space group = P4/mbm, No. 127

The structure in POSCAR format:
```
Ba2SnBi2
1.0
8.6115 0.0000 0.0000
0.0000 8.6115 0.0000
0.0000 0.0000 5.2452
Ba Bi Sn
4 4 2
Direct
0.3229 0.1771 0.5000
0.6771 0.8229 0.5000
0.8229 0.3229 0.5000
0.1771 0.6771 0.5000
0.6281 0.1281 0.0000
0.3719 0.8719 0.0000
0.8719 0.6281 0.0000
0.1281 0.3719 0.0000
0.5000 0.5000 0.0000
0.0000 0.0000 0.0000
```

***

Run 3
Entry from the Alexandria database: a relaxed Ba2SnBi2 crystal (GGA-PBE).

Summary:
spin magnetization = 0.0 μB per cell
space group = Immm, No. 71

The structure in POSCAR format:
```
Ba2SnBi2
1.0
-1.8987 0.1496 4.6241
-1.1420 -6.3436 2.4420
4.6130 -2.1081 4.6675
Ba Bi Sn
2 2 1
Direct
0.2844 0.2154 0.7155
0.7156 0.7846 0.2845
0.9999 0.2128 0.2871
0.0001 0.7872 0.7129
0.5000 0.5000 0.0000
```

***

Computed stability ranking, most favorable first: run 3, run 1, run 2

***

Run 1
Entry from the Alexandria database: a relaxed BaSnBi4 crystal (GGA-PBE).

Summary:
spin magnetization = 0.0 μB per cell
space group = F-43m, No. 216

The structure in POSCAR format:
```
BaSnBi4
1.0
-4.7392 1.6836 4.4005
-6.0463 -2.8236 -0.3571
-1.9270 -4.3725 4.6719
Bi Sn Ba
4 1 1
Direct
0.6266 0.6266 0.6266
0.6266 0.6266 0.1203
0.6266 0.1203 0.6266
0.1203 0.6266 0.6266
0.0000 0.0000 0.0000
0.2500 0.2500 0.2500
```

***

Run 2
Entry from the Alexandria database: a relaxed BaSnBi4 crystal (GGA-PBE).

Summary:
spin magnetization = 0.0 μB per cell
space group = P-1, No. 2

The structure in POSCAR format:
```
BaSnBi4
1.0
-5.2045 0.3177 -4.3637
3.2871 -2.4472 -5.6859
-2.4441 -8.0214 5.8231
Bi Sn Ba
8 2 2
Direct
0.3426 0.8051 0.1554
0.9838 0.9616 0.6515
0.3613 0.5356 0.3657
0.7493 0.3584 0.1827
0.6387 0.4644 0.6343
0.0162 0.0384 0.3485
0.6574 0.1949 0.8446
0.2507 0.6416 0.8173
0.5000 0.0000 0.5000
0.0000 0.5000 0.5000
0.2177 0.2363 0.0032
0.7823 0.7637 0.9968
```

***

Computed stability ranking, most favorable first: run 1, run 2

***

Run 1
Entry from the Alexandria database: a relaxed BaSn3Bi3 crystal (GGA-PBE).

Summary:
spin magnetization = 0.0 μB per cell
space group = P6_3/m, No. 176

The structure in POSCAR format:
```
BaSn3Bi3
1.0
4.5698 0.0000 0.0000
0.0000 11.0690 0.0000
0.0000 -5.5345 9.5860
Bi Sn Ba
6 6 2
Direct
0.2500 0.3726 0.4187
0.7500 0.9538 0.3726
0.7500 0.6274 0.5813
0.2500 0.5813 0.9538
0.2500 0.0462 0.6274
0.7500 0.4187 0.0462
0.2500 0.1864 0.9598
0.2500 0.7734 0.8136
0.2500 0.0402 0.2266
0.7500 0.2266 0.1864
0.7500 0.9598 0.7734
0.7500 0.8136 0.0402
0.2500 0.6667 0.3333
0.7500 0.3333 0.6667
```

***

Run 2
Entry from the Alexandria database: a relaxed BaSn3Bi3 crystal (GGA-PBE).

Summary:
spin magnetization = 0.0 μB per cell
space group = Pm-3n, No. 223

The structure in POSCAR format:
```
BaSn3Bi3
1.0
8.5811 0.0000 0.0000
0.0000 8.5811 0.0000
0.0000 0.0000 8.5811
Sn Ba Bi
6 2 6
Direct
0.7500 0.0000 0.5000
0.5000 0.7500 0.0000
0.5000 0.2500 0.0000
0.2500 0.0000 0.5000
0.0000 0.5000 0.2500
0.0000 0.5000 0.7500
0.5000 0.5000 0.5000
0.0000 0.0000 0.0000
0.5000 0.0000 0.2500
0.5000 0.0000 0.7500
0.7500 0.5000 0.0000
0.0000 0.2500 0.5000
0.0000 0.7500 0.5000
0.2500 0.5000 0.0000
```

***

Computed stability ranking, most favorable first: run 1, run 2

***

Run 1
Entry from the Alexandria database: a relaxed Ba5SrBi4 crystal (GGA-PBE).

Summary:
spin magnetization = 0.0 μB per cell
space group = C2/m, No. 12

The structure in POSCAR format:
```
Ba5SrBi4
1.0
-2.9756 5.0129 0.0325
-6.5251 -3.8453 -4.3106
4.1063 -1.0324 12.3793
Ba Bi Sr
5 4 1
Direct
0.5000 0.5000 0.0000
0.8416 0.6996 0.6833
0.1597 0.8318 0.3194
0.1584 0.3004 0.3167
0.8403 0.1682 0.6806
0.6847 0.1192 0.3694
0.9855 0.7265 0.9711
0.3153 0.8808 0.6306
0.0145 0.2735 0.0289
0.5000 0.0000 0.0000
```

***

Run 2
Entry from the Alexandria database: a relaxed Ba5SrBi4 crystal (GGA-PBE).

Summary:
spin magnetization = 0.0 μB per cell
space group = Immm, No. 71

The structure in POSCAR format:
```
Ba5SrBi4
1.0
5.0513 0.0000 1.6131
2.0670 9.1468 2.2427
-0.2942 -0.1231 9.6367
Bi Ba Sr
4 5 1
Direct
0.0109 0.2391 0.2391
0.2500 0.2785 0.7215
0.2500 0.7215 0.2785
0.4891 0.7609 0.7609
0.9170 0.6422 0.0238
0.7500 0.5000 0.5000
0.9170 0.0238 0.6422
0.5830 0.9762 0.3578
0.5830 0.3578 0.9762
0.2500 0.0000 0.0000
```

***

Computed stability ranking, most favorable first: run 1, run 2

***

Run 1
Entry from the Alexandria database: a relaxed BaSr2Bi2 crystal (GGA-PBE).

Summary:
spin magnetization = 0.0 μB per cell
space group = P-3m1, No. 164

The structure in POSCAR format:
```
BaSr2Bi2
1.0
-0.6190 -0.1830 -5.5439
2.6543 -3.9043 -2.9770
-6.5747 -5.1592 0.9044
Bi Sr Ba
2 2 1
Direct
0.1667 0.6667 0.7677
0.8333 0.3333 0.2323
0.8333 0.3333 0.6513
0.1667 0.6667 0.3487
0.5000 0.0000 0.0000
```

***

Run 2
Entry from the Alexandria database: a relaxed BaSr2Bi2 crystal (GGA-PBE).

Summary:
spin magnetization = 0.0 μB per cell
space group = I4/mmm, No. 139

The structure in POSCAR format:
```
BaSr2Bi2
1.0
6.3297 0.0000 0.0000
0.0000 6.3297 0.0000
3.1649 3.1649 5.7627
Sr Bi Ba
2 2 1
Direct
0.3290 0.3290 0.3420
0.6710 0.6710 0.6580
0.7500 0.2500 0.5000
0.2500 0.7500 0.5000
0.0000 0.0000 0.0000
```

***

Computed stability ranking, most favorable first: run 1, run 2

***

Run 1
Entry from the Alexandria database: a relaxed Ba3SrBi crystal (GGA-PBE).

Summary:
spin magnetization = 0.0 μB per cell
space group = Pm-3m, No. 221

The structure in POSCAR format:
```
Ba3SrBi
1.0
-1.9236 5.2970 3.3094
-5.8103 -2.7881 1.0854
2.2916 -2.6228 5.5300
Ba Bi Sr
3 1 1
Direct
0.0000 0.0000 0.5000
0.5000 0.0000 0.0000
0.0000 0.5000 0.0000
0.5000 0.5000 0.5000
0.0000 0.0000 0.0000
```

***

Run 2
Entry from the Alexandria database: a relaxed Ba3SrBi crystal (GGA-PBE).

Summary:
spin magnetization = 0.0 μB per cell
space group = Pm-3m, No. 221

The structure in POSCAR format:
```
Ba3SrBi
1.0
6.8757 0.0000 0.0000
0.0000 6.8757 0.0000
0.0000 0.0000 6.8757
Ba Bi Sr
3 1 1
Direct
0.0000 0.0000 0.5000
0.0000 0.5000 0.0000
0.5000 0.0000 0.0000
0.0000 0.0000 0.0000
0.5000 0.5000 0.5000
```

***

Computed stability ranking, most favorable first: run 2, run 1

***

Run 1
Entry from the Alexandria database: a relaxed BaSrBi4 crystal (GGA-PBE).

Summary:
spin magnetization = 0.0 μB per cell
space group = Pbam, No. 55

The structure in POSCAR format:
```
BaSrBi4
1.0
-1.7031 -4.0540 -1.3112
8.8956 -1.2371 -7.7300
9.5129 -7.9485 12.2194
Bi Sr Ba
16 4 4
Direct
0.5000 0.5285 0.2871
0.5000 0.4715 0.7129
0.5000 0.3701 0.0465
0.5000 0.3370 0.4309
0.5000 0.7115 0.7810
0.5000 0.6630 0.5691
0.5000 0.0285 0.2129
0.5000 0.7885 0.2810
0.5000 0.8370 0.0691
0.5000 0.8701 0.4535
0.5000 0.1630 0.9309
0.5000 0.1299 0.5465
0.5000 0.2885 0.2190
0.5000 0.9715 0.7871
0.5000 0.6299 0.9535
0.5000 0.2115 0.7190
0.0000 0.6348 0.4154
0.0000 0.8652 0.9154
0.0000 0.1348 0.0846
0.0000 0.3652 0.5846
0.0000 0.5988 0.1311
0.0000 0.9012 0.6311
0.0000 0.4012 0.8689
0.0000 0.0988 0.3689
```

***

Run 2
Entry from the Alexandria database: a relaxed BaSrBi4 crystal (GGA-PBE).

Summary:
spin magnetization = 0.0 μB per cell
space group = F-43m, No. 216

The structure in POSCAR format:
```
BaSrBi4
1.0
-0.8085 3.4256 5.7937
-5.7976 3.3000 1.2058
-4.2866 -2.2941 4.7242
Bi Sr Ba
4 1 1
Direct
0.6247 0.6247 0.6247
0.6247 0.1260 0.6247
0.6247 0.6247 0.1260
0.1260 0.6247 0.6247
0.2500 0.2500 0.2500
0.0000 0.0000 0.0000
```

***

Computed stability ranking, most favorable first: run 1, run 2

***

Run 1
Entry from the Alexandria database: a relaxed Ba2Sr2Bi crystal (GGA-PBE).

Summary:
spin magnetization = 0.0 μB per cell
space group = P4/mbm, No. 127

The structure in POSCAR format:
```
Ba2Sr2Bi
1.0
-5.6139 6.6626 -2.7781
-7.1967 -5.4399 1.4964
-0.4038 2.2292 6.1621
Sr Ba Bi
4 4 2
Direct
0.6651 0.8349 0.5000
0.3349 0.1651 0.5000
0.1651 0.6651 0.5000
0.8349 0.3349 0.5000
0.3459 0.8459 0.0000
0.8459 0.6541 0.0000
0.1541 0.3459 0.0000
0.6541 0.1541 0.0000
0.5000 0.5000 0.0000
0.0000 0.0000 0.0000
```

***

Run 2
Entry from the Alexandria database: a relaxed Ba2Sr2Bi crystal (GGA-PBE).

Summary:
spin magnetization = 0.0 μB per cell
space group = P4/mbm, No. 127

The structure in POSCAR format:
```
Ba2Sr2Bi
1.0
8.9813 0.0000 0.0000
0.0000 8.9813 0.0000
0.0000 0.0000 6.4786
Sr Ba Bi
4 4 2
Direct
0.3436 0.8436 0.0000
0.1564 0.3436 0.0000
0.8436 0.6564 0.0000
0.6564 0.1564 0.0000
0.3354 0.1646 0.5000
0.8354 0.3354 0.5000
0.1646 0.6646 0.5000
0.6646 0.8354 0.5000
0.5000 0.5000 0.0000
0.0000 0.0000 0.0000
```

***

Computed stability ranking, most favorable first: run 2, run 1